# 1
{"formula": "FeMoPt2", "functional": "PBE", "state": "relaxed", "space_group": "Fm-3m, No. 225", "dos_at_fermi_per_ev_atom": 2.37, "dft_energy_ev_per_fu": -30.39, "lattice": [[0.000, 3.092, 3.092], [3.092, 0.000, 3.092], [3.092, 3.092, 0.000]], "species": ["Fe", "Mo", "Pt", "Pt"], "frac_coords": [[0.000, 0.000, 0.000], [0.500, 0.500, 0.500], [0.250, 0.250, 0.250], [0.750, 0.750, 0.750]]}

=====

# 2
{"formula": "PmZr2Nb", "functional": "PBE", "state": "relaxed", "polymorph_energy_kj_per_mol_fu": 0.0, "space_group": "P4/mmm, No. 123", "dos_at_fermi_per_ev_atom": 1.72, "dft_energy_ev_per_fu": -31.44, "lattice": [[3.549, 0.000, 0.000], [0.000, 3.549, 0.000], [0.000, 0.000, 7.706]], "species": ["Pm", "Zr", "Zr", "Nb"], "frac_coords": [[0.000, 0.000, 0.000], [0.500, 0.500, 0.297], [0.500, 0.500, 0.703], [0.000, 0.000, 0.500]]}

=====

# 3
{"formula": "Ac2SiGe", "functional": "PBE", "state": "relaxed", "raw_formation_energy_ev_per_atom": -0.654, "space_group": "Amm2, No. 38", "dos_at_fermi_per_ev_atom": 0.64, "dft_energy_ev_per_fu": -20.87, "lattice": [[6.876, 0.000, 0.000], [0.000, 2.380, 7.173], [0.000, -2.380, 7.173]], "species": ["Ac", "Ac", "Ac", "Ac", "Si", "Si", "Ge", "Ge"], "frac_coords": [[0.000, 0.000, 0.000], [0.000, 0.272, 0.272], [0.500, 0.097, 0.097], [0.500, 0.819, 0.819], [0.182, 0.642, 0.642], [0.818, 0.642, 0.642], [0.307, 0.453, 0.453], [0.693, 0.453, 0.453]]}

=====

What is the formula in the second record?
PmZr2Nb